Here is a relaxed Pm3Sm2In7 crystal from Alexandria. Energies are from PBE.

Calculated values
calculated volume: 362 Å³/f.u.
final energy: -3.81 eV per atom
E_form: -241 meV/atom

```
data_Pm3Sm2In7
_cell_length_a 5.237
_cell_length_b 25.232
_cell_length_c 5.476
_cell_angle_alpha 90.00
_cell_angle_beta 90.00
_cell_angle_gamma 90.00
_space_group_name_H-M_alt 'C m m m'
_space_group_IT_number 65
_space_group_name_Hall '-C 2 2'
loop_
_atom_site_label
_atom_site_type_symbol
_atom_site_fract_x
_atom_site_fract_y
_atom_site_fract_z
Pm1 Pm 0.000 0.000 0.000
Pm2 Pm 0.000 0.156 0.000
Sm1 Sm 0.000 0.356 0.500
In1 In 0.000 0.073 0.500
In2 In 0.000 0.226 0.500
In3 In 0.000 0.422 0.000
In4 In 0.000 0.500 0.500
```

Here is a relaxed PmSm5In2 crystal from Alexandria. Energies are from PBE.

Calculated values
calculated volume: 241 Å³/f.u.
final energy: -4.50 eV per atom
E_form: -273 meV/atom
relative energy among the computed polymorphs: 0.0 kJ per mole of atoms

```
data_PmSm5In2
_cell_length_a 6.985
_cell_length_b 13.966
_cell_length_c 4.937
_cell_angle_alpha 90.00
_cell_angle_beta 90.00
_cell_angle_gamma 90.00
_space_group_name_H-M_alt 'P b a m'
_space_group_IT_number 55
loop_
_space_group_symop_operation_xyz
'x,y,z'
'-x,-y,-z'
'-x,-y,z'
'x,y,-z'
'x+1/2,-y+1/2,-z'
'-x+1/2,y+1/2,z'
'-x+1/2,y+1/2,-z'
'x+1/2,-y+1/2,z'
loop_
_atom_site_label
_atom_site_type_symbol
_atom_site_fract_x
_atom_site_fract_y
_atom_site_fract_z
Pm1 Pm 0.000 0.000 0.000
Sm1 Sm 0.000 0.250 0.000
Sm2 Sm 0.000 0.500 0.000
Sm3 Sm 0.250 0.125 0.500
In1 In 0.249 0.375 0.500
```

Here is a relaxed PmSm8In5 crystal from Alexandria. Energies are from PBE.

Calculated values
calculated volume: 438 Å³/f.u.
final energy: -4.24 eV per atom
E_form: -222 meV/atom

```
data_PmSm8In5
_cell_length_a 9.613
_cell_length_b 9.613
_cell_length_c 9.470
_cell_angle_alpha 90.00
_cell_angle_beta 90.00
_cell_angle_gamma 90.00
_space_group_name_H-M_alt 'I -4'
_space_group_IT_number 82
loop_
_space_group_symop_operation_xyz
'x,y,z'
'y,-x,-z'
'-x,-y,z'
'-y,x,-z'
'x+1/2,y+1/2,z+1/2'
'y+1/2,-x+1/2,-z+1/2'
'-x+1/2,-y+1/2,z+1/2'
'-y+1/2,x+1/2,-z+1/2'
loop_
_atom_site_label
_atom_site_type_symbol
_atom_site_fract_x
_atom_site_fract_y
_atom_site_fract_z
Pm1 Pm 0.000 0.000 0.000
Sm1 Sm 0.073 0.343 0.952
Sm2 Sm 0.081 0.183 0.312
In1 In 0.000 0.500 0.250
In2 In 0.132 0.245 0.637
```

Here is a relaxed Pm2SmIn3 crystal from Alexandria. Energies are from PBE.

Calculated values
calculated volume: 170 Å³/f.u.
final energy: -4.23 eV per atom
E_form: -495 meV/atom
relative energy among the computed polymorphs: 0.2 kJ per mole of atoms

```
data_Pm2SmIn3
_cell_length_a 3.842
_cell_length_b 3.842
_cell_length_c 11.526
_cell_angle_alpha 90.00
_cell_angle_beta 90.00
_cell_angle_gamma 90.00
_space_group_name_H-M_alt 'P 4/m m m'
_space_group_IT_number 123
_space_group_name_Hall '-P 4 2'
loop_
_atom_site_label
_atom_site_type_symbol
_atom_site_fract_x
_atom_site_fract_y
_atom_site_fract_z
Pm1 Pm 0.000 0.000 0.167
Sm1 Sm 0.000 0.000 0.500
In1 In 0.500 0.500 0.000
In2 In 0.500 0.500 0.335
```